## Li2SbCl6 (PBE)

Data for a geometry-optimized Li2SbCl6 structure.

a b c (Å): 6.117 6.117 11.499
angles (deg): 90.00 90.00 90.00
Positions (direct):
Cl 0.298 0.298 0.000
Cl 0.798 0.202 0.500
Cl 0.804 0.196 0.165
Sb 0.000 0.000 0.000
Cl 0.304 0.304 0.665
Cl 0.696 0.696 0.665
Sb 0.500 0.500 0.500
Li 0.500 0.500 0.168
Li 0.000 0.000 0.668
Cl 0.304 0.304 0.335
Cl 0.696 0.696 0.335
Cl 0.804 0.196 0.835
Cl 0.202 0.798 0.500
Cl 0.196 0.804 0.165
Li 0.000 0.000 0.332
Cl 0.702 0.702 0.000
Li 0.500 0.500 0.832
Cl 0.196 0.804 0.835

Summary:
Energy relative to the elements, uncorrected (meV/atom): -1163
Calculated total energy (eV/atom): -3.28
Space-group type: P4_2/mnm
Distance to the lowest polymorph of the same formula (meV per atom): 16
Size of the total moment (μB per cell): 0.00

---

## LiSbCl5 (PBE)

Data for a geometry-optimized LiSbCl5 structure.

a b c (Å): 7.030 7.030 10.023
angles (deg): 108.98 114.92 86.30
Positions (direct):
Cl 0.719 0.173 0.839
Cl 0.791 0.203 0.477
Li 0.660 0.910 0.250
Cl 0.055 0.305 0.250
Cl 0.209 0.797 0.523
Cl 0.945 0.695 0.750
Sb 0.000 0.500 0.500
Cl 0.666 0.620 0.339
Cl 0.274 0.186 0.977
Cl 0.334 0.380 0.661
Cl 0.281 0.827 0.161
Cl 0.726 0.814 0.023
Sb 0.000 0.000 0.000
Li 0.340 0.090 0.750

Summary:
Energy relative to the elements, uncorrected (meV/atom): -981
Calculated total energy (eV/atom): -3.16
Space-group type: C2/c
Size of the total moment (μB per cell): 0.00

---

## LiSbCl4 (PBE)

Data for a geometry-optimized LiSbCl4 structure.

a b c (Å): 5.408 8.381 9.897
angles (deg): 108.42 90.00 108.82
Positions (direct):
Li 0.903 0.805 0.377
Cl 0.634 0.269 0.711
Cl 0.135 0.269 0.047
Cl 0.949 0.898 0.634
Li 0.097 0.195 0.623
Sb 0.792 0.584 0.703
Cl 0.051 0.102 0.366
Sb 0.208 0.416 0.297
Cl 0.269 0.539 0.673
Cl 0.731 0.461 0.327
Cl 0.366 0.731 0.289
Cl 0.865 0.731 0.953

Summary:
Energy relative to the elements, uncorrected (meV/atom): -1123
Calculated total energy (eV/atom): -3.36
Space-group type: C2/m
Distance to the lowest polymorph of the same formula (meV per atom): 8
Size of the total moment (μB per cell): 0.00

---

## Li2SbCl (PBE)

Data for a geometry-optimized Li2SbCl structure.

a b c (Å): 3.430 3.430 7.864
angles (deg): 77.44 77.44 60.03
Positions (direct):
Li 0.482 0.482 0.553
Sb 0.250 0.250 0.250
Cl 0.750 0.750 0.750
Li 0.018 0.018 0.947

Summary:
Energy relative to the elements, uncorrected (meV/atom): -1060
Calculated total energy (eV/atom): -3.51
Space-group type: R-3m
Distance to the lowest polymorph of the same formula (meV per atom): 0
Size of the total moment (μB per cell): 0.00

---

## Li2SbCl4 (PBE)

Data for a geometry-optimized Li2SbCl4 structure.

a b c (Å): 6.558 6.558 6.121
angles (deg): 122.40 122.40 90.00
Last column: magnetic moment on the atom in μB.
Positions (direct):
Li 0.750 0.250 0.500  0.00
Cl 0.650 0.650 0.757  0.03
Cl 0.107 0.107 0.757  0.03
Li 0.250 0.750 0.500  0.00
Sb 0.500 0.500 0.000  0.35
Cl 0.350 0.893 0.243  0.03
Cl 0.893 0.350 0.243  0.03

Summary:
Energy relative to the elements, uncorrected (meV/atom): -1104
Calculated total energy (eV/atom): -3.29
Space-group type: I-42m
Size of the total moment (μB per cell): 1.00

---

## Li2SbCl (PBE)

Data for a geometry-optimized Li2SbCl structure.

a b c (Å): 3.282 3.338 7.692
angles (deg): 88.94 90.00 90.00
Positions (direct):
Cl 0.500 0.750 0.750
Li 0.000 0.774 0.970
Li 0.000 0.726 0.530
Sb 0.500 0.250 0.250

Summary:
Energy relative to the elements, uncorrected (meV/atom): -987
Calculated total energy (eV/atom): -3.44
Space-group type: P2/m
Distance to the lowest polymorph of the same formula (meV per atom): 73
Size of the total moment (μB per cell): 0.00

---

## LiSb4Cl (PBE)

Data for a geometry-optimized LiSb4Cl structure.

a b c (Å): 6.430 6.430 6.430
angles (deg): 60.00 60.00 60.00
Positions (direct):
Sb 0.388 0.837 0.388
Cl 0.750 0.750 0.750
Sb 0.388 0.388 0.837
Sb 0.837 0.388 0.388
Li 0.000 0.000 0.000
Sb 0.388 0.388 0.388

Summary:
Energy relative to the elements, uncorrected (meV/atom): -85
Calculated total energy (eV/atom): -3.46
Space-group type: F-43m
Size of the total moment (μB per cell): 0.00

---

## Li2SbCl5 (PBE)

Data for a geometry-optimized Li2SbCl5 structure.

a b c (Å): 6.965 10.255 7.522
angles (deg): 76.88 62.42 70.15
Positions (direct):
Cl 0.305 0.137 0.532
Li 0.631 0.643 0.175
Cl 0.025 0.637 0.032
Li 0.361 0.443 0.916
Cl 0.346 0.840 0.115
Cl 0.542 0.737 0.492
Sb 0.952 0.284 0.815
Cl 0.585 0.447 0.088
Li 0.279 0.943 0.416
Cl 0.880 0.947 0.588
Cl 0.230 0.237 0.992
Li 0.551 0.143 0.675
Cl 0.079 0.486 0.633
Sb 0.949 0.784 0.315
Cl 0.699 0.340 0.615
Cl 0.801 0.986 0.133

Summary:
Energy relative to the elements, uncorrected (meV/atom): -1314
Calculated total energy (eV/atom): -3.46
Space-group type: Cc
Size of the total moment (μB per cell): 0.00

---

## Li3SbCl9 (PBE)

Data for a geometry-optimized Li3SbCl9 structure.

a b c (Å): 6.547 10.327 13.308
angles (deg): 70.79 75.76 71.52
Last column: magnetic moment on the atom in μB.
Positions (direct):
Cl 0.971 0.468 0.869  0.00
Cl 0.003 0.041 0.994  0.38
Li 0.582 0.612 0.473  0.00
Cl 0.730 0.699 0.026  0.00
Cl 0.270 0.818 0.510  0.00
Cl 0.470 0.558 0.342  0.04
Cl 0.545 0.199 0.526  0.00
Cl 0.630 0.058 0.842  0.04
Cl 0.402 0.318 0.010  0.00
Cl 0.871 0.337 0.144  0.00
Sb 0.063 0.498 0.019  0.00
Sb 0.420 0.998 0.519  0.00
Cl 0.241 0.681 0.902  0.00
Cl 0.269 0.932 0.140  0.36
Cl 0.151 0.542 0.173  0.00
Cl 0.134 0.042 0.673  0.00
Li 0.746 0.183 0.668  0.00
Li 0.272 0.388 0.418  0.00
Cl 0.692 0.968 0.369  0.00
Li 0.403 0.683 0.168  0.00
Cl 0.659 0.432 0.640  0.36
Cl 0.648 0.837 0.644  0.00
Li 0.923 0.888 0.918  0.00
Li 0.333 0.112 0.973  0.00
Cl 0.962 0.541 0.494  0.38
Cl 0.176 0.181 0.402  0.00

Summary:
Energy relative to the elements, uncorrected (meV/atom): -1067
Calculated total energy (eV/atom): -3.10
Space-group type: Cc
Size of the total moment (μB per cell): 2.00

---

## LiSnSbCl6 (PBE)

Data for a geometry-optimized LiSnSbCl6 structure.

a b c (Å): 6.733 6.733 6.287
angles (deg): 90.00 90.00 59.99
Positions (direct):
Cl 0.347 0.007 0.737
Li 0.333 0.333 0.500
Cl 0.007 0.646 0.737
Sb 0.667 0.667 0.500
Cl 0.347 0.646 0.263
Sn 0.000 0.000 0.000
Cl 0.646 0.347 0.737
Cl 0.007 0.347 0.263
Cl 0.646 0.007 0.263

Summary:
Energy relative to the elements, uncorrected (meV/atom): -1100
Calculated total energy (eV/atom): -3.45
Space-group type: P312
Size of the total moment (μB per cell): 0.00

---

## Li2TlSbCl8 (PBE)

Data for a geometry-optimized Li2TlSbCl8 structure.

a b c (Å): 6.253 7.190 9.450
angles (deg): 62.93 88.61 95.72
Positions (direct):
Cl 0.881 0.233 0.740
Sb 0.000 0.000 0.000
Cl 0.164 0.813 0.881
Tl 0.000 0.000 0.500
Cl 0.119 0.767 0.260
Li 0.503 0.352 0.670
Cl 0.836 0.187 0.119
Cl 0.560 0.717 0.543
Cl 0.673 0.759 0.060
Cl 0.327 0.241 0.940
Li 0.497 0.648 0.330
Cl 0.440 0.283 0.457

Summary:
Energy relative to the elements, uncorrected (meV/atom): -1083
Calculated total energy (eV/atom): -3.17
Space-group type: P-1
Size of the total moment (μB per cell): 0.00

---

## Li2TlSbCl6 (PBE)

Data for a geometry-optimized Li2TlSbCl6 structure.

a b c (Å): 6.642 6.642 8.600
angles (deg): 67.28 67.28 60.00
Positions (direct):
Cl 0.593 0.253 0.239
Cl 0.915 0.593 0.239
Cl 0.718 0.039 0.864
Cl 0.379 0.718 0.864
Sb 0.316 0.316 0.051
Li 0.644 0.644 0.068
Cl 0.039 0.379 0.864
Cl 0.253 0.915 0.239
Li 0.988 0.988 0.035
Tl 0.816 0.816 0.552

Summary:
Energy relative to the elements, uncorrected (meV/atom): -1279
Calculated total energy (eV/atom): -3.42
Space-group type: R-3
Size of the total moment (μB per cell): 0.00

---

## LiTlSbCl6 (PBE)

Data for a geometry-optimized LiTlSbCl6 structure.

a b c (Å): 6.699 6.699 7.075
angles (deg): 90.00 90.00 59.99
Positions (direct):
Cl 0.630 0.007 0.293
Tl 0.000 0.000 0.000
Li 0.667 0.667 0.500
Sb 0.333 0.333 0.500
Cl 0.363 0.007 0.707
Cl 0.363 0.630 0.293
Cl 0.007 0.363 0.293
Cl 0.007 0.630 0.707
Cl 0.630 0.363 0.707

Summary:
Energy relative to the elements, uncorrected (meV/atom): -1036
Calculated total energy (eV/atom): -3.20
Space-group type: P312
Size of the total moment (μB per cell): 0.01

---

## LiSc2Cl (PBE)

Data for a geometry-optimized LiSc2Cl structure.

a b c (Å): 3.216 3.216 8.328
angles (deg): 90.00 90.00 90.00
Positions (direct):
Cl 0.000 0.000 0.513
Sc 0.500 0.500 0.276
Sc 0.000 0.000 0.008
Li 0.500 0.500 0.703

Summary:
Energy relative to the elements, uncorrected (meV/atom): -540
Calculated total energy (eV/atom): -4.65
Space-group type: P4mm
Distance to the lowest polymorph of the same formula (meV per atom): 56
Size of the total moment (μB per cell): 0.07

---

## LiSc2Cl (PBE)

Data for a geometry-optimized LiSc2Cl structure.

a b c (Å): 3.357 5.145 5.128
angles (deg): 90.00 90.00 90.00
Positions (direct):
Sc 0.000 0.000 0.000
Li 0.000 0.500 0.500
Sc 0.500 0.500 0.000
Cl 0.500 0.000 0.500

Summary:
Energy relative to the elements, uncorrected (meV/atom): -130
Calculated total energy (eV/atom): -4.24
Space-group type: Pmmm
Distance to the lowest polymorph of the same formula (meV per atom): 466
Size of the total moment (μB per cell): 0.00

---

## LiSc2Cl (PBE)

Data for a geometry-optimized LiSc2Cl structure.

a b c (Å): 10.242 10.242 10.242
angles (deg): 18.13 18.13 18.13
Positions (direct):
Cl 0.500 0.500 0.500
Sc 0.098 0.098 0.098
Li 0.000 0.000 0.000
Sc 0.902 0.902 0.902

Summary:
Energy relative to the elements, uncorrected (meV/atom): -311
Calculated total energy (eV/atom): -4.42
Space-group type: R-3m
Distance to the lowest polymorph of the same formula (meV per atom): 285
Size of the total moment (μB per cell): 0.00

---

## LiSc2Cl (PBE)

Data for a geometry-optimized LiSc2Cl structure.

a b c (Å): 3.256 3.256 8.968
angles (deg): 90.00 90.00 113.33
Positions (direct):
Sc 0.500 0.500 0.279
Sc 0.000 0.000 0.011
Li 0.500 0.500 0.705
Cl 0.000 0.000 0.505

Summary:
Energy relative to the elements, uncorrected (meV/atom): -596
Calculated total energy (eV/atom): -4.70
Space-group type: Cmm2
Distance to the lowest polymorph of the same formula (meV per atom): 0
Size of the total moment (μB per cell): 0.00

---

## LiScCl3 (PBE)

Data for a geometry-optimized LiScCl3 structure.

a b c (Å): 4.657 4.657 4.657
angles (deg): 90.00 90.00 90.00
Last column: magnetic moment on the atom in μB.
Positions (direct):
Cl 0.000 0.000 0.500  -0.01
Cl 0.500 0.000 0.000  -0.01
Li 0.000 0.000 0.000  0.00
Sc 0.500 0.500 0.500  0.84
Cl 0.000 0.500 0.000  -0.01

Summary:
Energy relative to the elements, uncorrected (meV/atom): -1250
Calculated total energy (eV/atom): -4.01
Space-group type: Pm-3m
Size of the total moment (μB per cell): 1.00

---

## Li3ScCl6 (PBE)

Data for a geometry-optimized Li3ScCl6 structure.

a b c (Å): 6.479 6.589 9.878
angles (deg): 90.00 90.12 90.00
Positions (direct):
Sc 0.000 0.000 0.000
Cl 0.659 0.182 0.588
Cl 0.330 0.823 0.057
Sc 0.500 0.500 0.500
Cl 0.868 0.907 0.233
Cl 0.830 0.677 0.557
Cl 0.670 0.177 0.943
Cl 0.159 0.318 0.088
Cl 0.132 0.093 0.767
Cl 0.632 0.407 0.267
Li 0.009 0.467 0.730
Li 0.991 0.533 0.270
Cl 0.170 0.323 0.443
Li 0.491 0.967 0.770
Li 0.500 0.500 0.000
Cl 0.341 0.818 0.412
Cl 0.368 0.593 0.733
Cl 0.841 0.682 0.912
Li 0.509 0.033 0.230
Li 0.000 0.000 0.500

Summary:
Energy relative to the elements, uncorrected (meV/atom): -1891
Calculated total energy (eV/atom): -4.21
Space-group type: P2_1/c
Distance to the lowest polymorph of the same formula (meV per atom): 39
Size of the total moment (μB per cell): 0.00

---

## LiSc2Cl (PBE)

Data for a geometry-optimized LiSc2Cl structure.

a b c (Å): 9.045 9.045 9.045
angles (deg): 21.17 21.17 21.17
Last column: magnetic moment on the atom in μB.
Positions (direct):
Sc 0.507 0.507 0.507  0.28
Sc 0.993 0.993 0.993  0.28
Cl 0.250 0.250 0.250  0.00
Li 0.750 0.750 0.750  0.03

Summary:
Energy relative to the elements, uncorrected (meV/atom): -430
Calculated total energy (eV/atom): -4.54
Space-group type: R-3m
Distance to the lowest polymorph of the same formula (meV per atom): 166
Size of the total moment (μB per cell): 1.07